Er8C3Se3N: optimized geometry, PBE-GGA.

Cell: 7.337 7.340 7.728 Å, 118.37 90.00 120.00°
Fractional coordinates of all 15 atoms:
Er1 0.266 0.531 0.297
Er2 0.734 0.469 0.703
Er3 0.764 0.529 0.298
Er4 0.236 0.471 0.702
Er5 0.764 0.034 0.298
Er6 0.236 0.966 0.702
Er7 0.269 0.034 0.298
Er8 0.731 0.966 0.702
C1 0.500 0.000 0.500
C2 0.500 0.500 0.500
C3 0.000 0.500 0.500
Se1 0.000 0.000 0.000
Se2 0.000 0.500 0.000
Se3 0.500 0.500 0.000
N1 0.000 0.000 0.500

Properties
Its magnetic moment is 0.1 μB per cell. Its space group is R-3m. For the uncorrected formation energy, the calculation gives -111.8 kJ per mole of atoms.

---

Er4CSe2N: optimized geometry, PBE-GGA.

Cell: 3.682 6.367 6.800 Å, 108.21 90.00 90.00°
Fractional coordinates of all 8 atoms:
Er1 0.500 0.234 0.200
Er2 0.500 0.766 0.800
Er3 0.000 0.267 0.797
Er4 0.000 0.733 0.203
C1 0.500 0.500 0.000
Se1 0.500 0.000 0.500
Se2 0.000 0.500 0.500
N1 0.000 0.000 0.000

Properties
Its magnetic moment is 0.0 μB per cell. Its space group is P2/m. For the uncorrected formation energy, the calculation gives -142.2 kJ per mole of atoms.

---

Er8C3Se4N: optimized geometry, PBE-GGA.

Cell: 7.403 7.770 7.404 Å, 118.46 120.00 90.00°
Fractional coordinates of all 16 atoms:
Er1 0.234 0.701 0.966
Er2 0.234 0.701 0.469
Er3 0.265 0.296 0.531
Er4 0.732 0.701 0.966
Er5 0.268 0.299 0.034
Er6 0.735 0.704 0.469
Er7 0.766 0.299 0.531
Er8 0.766 0.299 0.034
C1 0.500 0.500 0.000
C2 0.500 0.500 0.500
C3 0.000 0.500 0.500
Se1 0.500 0.000 0.000
Se2 0.500 0.000 0.500
Se3 0.000 0.000 0.000
Se4 0.000 0.000 0.500
N1 0.000 0.500 0.000

Properties
Its magnetic moment is 0.0 μB per cell. Its space group is R-3m. For the uncorrected formation energy, the calculation gives -129.4 kJ per mole of atoms.

---

Er2Si4CN6: optimized geometry, PBE-GGA.

Cell: 5.926 9.971 10.330 Å, 90.00 89.74 90.00°
Fractional coordinates of all 52 atoms:
Er1 0.263 0.088 0.084
Er2 0.737 0.912 0.916
Er3 0.237 0.588 0.416
Er4 0.763 0.412 0.584
Er5 0.266 0.930 0.407
Er6 0.734 0.070 0.593
Er7 0.234 0.430 0.093
Er8 0.766 0.570 0.907
Si1 0.756 0.287 0.080
Si2 0.244 0.713 0.920
Si3 0.744 0.787 0.420
Si4 0.256 0.213 0.580
Si5 0.979 0.274 0.341
Si6 0.021 0.726 0.659
Si7 0.521 0.774 0.159
Si8 0.479 0.226 0.841
Si9 0.747 0.021 0.251
Si10 0.253 0.979 0.749
Si11 0.753 0.521 0.249
Si12 0.247 0.479 0.751
Si13 0.474 0.296 0.323
Si14 0.526 0.704 0.677
Si15 0.026 0.796 0.177
Si16 0.974 0.204 0.823
C1 0.728 0.209 0.248
C2 0.272 0.791 0.752
C3 0.772 0.709 0.252
C4 0.228 0.291 0.748
N1 0.840 0.455 0.099
N2 0.160 0.545 0.901
N3 0.660 0.955 0.401
N4 0.340 0.045 0.599
N5 0.932 0.448 0.364
N6 0.068 0.552 0.636
N7 0.568 0.948 0.136
N8 0.432 0.052 0.864
N9 0.476 0.465 0.275
N10 0.524 0.535 0.725
N11 0.024 0.965 0.225
N12 0.976 0.035 0.775
N13 0.993 0.213 0.500
N14 0.007 0.787 0.500
N15 0.507 0.713 0.000
N16 0.493 0.287 0.000
N17 0.225 0.239 0.253
N18 0.775 0.761 0.747
N19 0.275 0.739 0.247
N20 0.725 0.261 0.753
N21 0.470 0.289 0.491
N22 0.530 0.711 0.509
N23 0.030 0.789 0.009
N24 0.970 0.211 0.991

Properties
Its magnetic moment is 0.0 μB per cell. Its space group is P2_1/c. For the uncorrected formation energy, the calculation gives -118.2 kJ per mole of atoms.

---

Sr3ErC2N6: optimized geometry, PBE-GGA.

Cell: 5.585 5.585 6.635 Å, 90.00 90.00 120.00°
Fractional coordinates of all 12 atoms:
Sr1 0.333 0.667 0.680
Sr2 0.667 0.333 0.320
Sr3 0.000 0.000 0.000
Er1 0.000 0.000 0.500
C1 0.667 0.333 0.725
C2 0.333 0.667 0.275
N1 0.616 0.808 0.284
N2 0.192 0.384 0.284
N3 0.192 0.808 0.284
N4 0.808 0.616 0.716
N5 0.384 0.192 0.716
N6 0.808 0.192 0.716

Properties
Its magnetic moment is 0.0 μB per cell. Its space group is P-3m1. For the uncorrected formation energy, the calculation gives -73.4 kJ per mole of atoms.

---

ErThCN: optimized geometry, PBE-GGA.

Cell: 3.634 3.634 5.061 Å, 90.00 90.00 90.00°
Fractional coordinates of all 4 atoms:
Er1 0.000 0.000 0.000
Th1 0.500 0.500 0.500
C1 0.500 0.500 0.000
N1 0.000 0.000 0.500

Properties
Its magnetic moment is 0.0 μB per cell. Its space group is P4/mmm. For the uncorrected formation energy, the calculation gives -93.8 kJ per mole of atoms.

---

Er2TlC2N6: optimized geometry, PBE-GGA.

Cell: 5.978 6.006 6.070 Å, 112.15 90.00 60.15°
Last column: magnetic moment on the atom in μB.
Fractional coordinates of all 11 atoms:
Er1 0.829 0.342 0.794  0.02
Er2 0.171 0.658 0.206  0.02
Tl1 0.500 0.000 0.500  0.00
C1 0.157 0.685 0.755  -0.01
C2 0.843 0.315 0.245  -0.01
N1 0.391 0.595 0.820  0.12
N2 0.986 0.405 0.180  0.12
N3 0.073 0.853 0.641  0.02
N4 0.014 0.595 0.820  0.12
N5 0.927 0.147 0.359  0.02
N6 0.609 0.405 0.180  0.12

Properties
Its magnetic moment is 0.8 μB per cell. Its space group is C2/m. For the uncorrected formation energy, the calculation gives -26.6 kJ per mole of atoms.

---

ErUCN: optimized geometry, PBE-GGA.

Cell: 3.491 3.491 5.997 Å, 73.08 73.08 60.00°
Last column: magnetic moment on the atom in μB.
Fractional coordinates of all 4 atoms:
Er1 0.193 0.193 0.422  0.03
U1 0.694 0.694 0.917  0.61
C1 0.952 0.952 0.145  -0.03
N1 0.438 0.438 0.687  -0.03

Properties
Its magnetic moment is 0.6 μB per cell. Its space group is R3m. For the uncorrected formation energy, the calculation gives -88.4 kJ per mole of atoms.